Record 1
The following is a DFT calculation (GGA-PBE) of a relaxed TlSe2Br crystal.

```
data_TlSe2Br
_cell_length_a 4.067
_cell_length_b 4.116
_cell_length_c 14.579
_cell_angle_alpha 90.00
_cell_angle_beta 90.00
_cell_angle_gamma 90.00
_symmetry_space_group_name_H-M 'I m m m'
_symmetry_Int_Tables_number 71
_symmetry_space_group_name_Hall '-I 2 2'
loop_
_atom_site_label
_atom_site_type_symbol
_atom_site_fract_x
_atom_site_fract_y
_atom_site_fract_z
Tl1 Tl 0.000 0.000 0.000
Se1 Se 0.000 0.500 0.254
Br1 Br 0.000 0.000 0.500
```

Values from the calculation:
The formation energy from raw total energies comes out at -46 meV/atom. The calculation puts the energy above the most stable polymorph in this dataset at 0.918 eV/f.u.

Record 2
The following is a DFT calculation (GGA-PBE) of a relaxed ErCd10Ag2 crystal.

```
data_ErCd10Ag2
_cell_length_a 5.787
_cell_length_b 13.987
_cell_length_c 14.102
_cell_angle_alpha 90.00
_cell_angle_beta 90.00
_cell_angle_gamma 90.00
_symmetry_space_group_name_H-M 'F m m m'
_symmetry_Int_Tables_number 69
_symmetry_space_group_name_Hall '-F 2 2'
loop_
_atom_site_label
_atom_site_type_symbol
_atom_site_fract_x
_atom_site_fract_y
_atom_site_fract_z
Er1 Er 0.000 0.000 0.000
Cd1 Cd 0.000 0.107 0.396
Cd2 Cd 0.000 0.177 0.170
Cd3 Cd 0.250 0.000 0.250
Ag1 Ag 0.250 0.250 0.000
```

Values from the calculation:
The value obtained for the energy relative to the elements is -0.076 eV/atom.

Record 3
The following is a DFT calculation (GGA-PBE) of a relaxed SrNd5Te8 crystal.

```
data_SrNd5Te8
_cell_length_a 9.610
_cell_length_b 9.610
_cell_length_c 9.623
_cell_angle_alpha 90.00
_cell_angle_beta 90.00
_cell_angle_gamma 90.00
_symmetry_space_group_name_H-M 'I -4'
_symmetry_Int_Tables_number 82
loop_
_symmetry_equiv_pos_as_xyz
'x,y,z'
'y,-x,-z'
'-x,-y,z'
'-y,x,-z'
'x+1/2,y+1/2,z+1/2'
'y+1/2,-x+1/2,-z+1/2'
'-x+1/2,-y+1/2,z+1/2'
'-y+1/2,x+1/2,-z+1/2'
loop_
_atom_site_label
_atom_site_type_symbol
_atom_site_fract_x
_atom_site_fract_y
_atom_site_fract_z
Sr1 Sr 0.000 0.000 0.000
Nd1 Nd 0.000 0.500 0.750
Nd2 Nd 0.123 0.748 0.373
Te1 Te 0.074 0.822 0.694
Te2 Te 0.077 0.671 0.049
```

Values from the calculation:
The formation energy from raw total energies comes out at -1474 meV/atom. The calculation puts the energy above the most stable polymorph in this dataset at 0.000 eV/f.u.

no.,DOS at the Fermi energy (states/eV per cell)
1,4.797
2,22.515
3,12.907